1:
The following is a DFT calculation (PBE) of a relaxed TmAgSnS3 crystal.

Computed properties:
The crystal system is orthorhombic. Its volume is 22.1 A^3/atom.

a = 3.9694 Å, b = 13.0080 Å, c = 10.2903 Å
α = 90.00°, β = 90.00°, γ = 90.00°
With the nearest neighbours (Å) after each atom.
Space group Cmcm (No. 63)
Asymmetric unit:
Tm: 0.0000 0.0000 0.0000  6 S 2.74-2.82
Ag: 0.0000 0.4577 0.2500  4 S 2.47-2.61
Sn: 0.0000 0.2573 0.7500  2 S 2.82
S: 0.0000 0.0882 0.2500  2 Ag 2.61, 2 Tm 2.82, 2 Sn 2.82
S: 0.0000 0.3596 0.0450  1 Ag 2.47, 2 Tm 2.74

---

2:
The following is a DFT calculation (PBE) of a relaxed TmAgSnS3 crystal.

Computed properties:
The crystal system is orthorhombic. Its volume is 23.2 A^3/atom.

a = 8.4584 Å, b = 3.9666 Å, c = 16.5752 Å
α = 90.00°, β = 90.00°, γ = 90.00°
With the nearest neighbours (Å) after each atom.
Space group Pnma (No. 62)
Asymmetric unit:
Tm: 0.1794 0.2500 0.0617  6 S 2.69-2.79
Ag: 0.0930 0.2500 0.3947  3 S 2.48-2.60
Sn: 0.1681 0.2500 0.7623  3 S 2.64-2.75
S: 0.1051 0.2500 0.6061  2 Ag 2.60, 1 Sn 2.64, 2 Tm 2.79
S: 0.1212 0.2500 0.2224  1 Tm 2.71, 2 Sn 2.75, 1 Ag 2.87
S: 0.1371 0.7500 0.9524  1 Ag 2.48, 3 Tm 2.69-2.71

---

3:
The following is a DFT calculation (PBE) of a relaxed TmAgSnS3 crystal.

Computed properties:
The crystal system is orthorhombic. Its volume is 24.0 A^3/atom.

a = 11.8927 Å, b = 3.8912 Å, c = 12.4237 Å
α = 90.00°, β = 90.00°, γ = 90.00°
With the nearest neighbours (Å) after each atom.
Space group Pnma (No. 62)
Asymmetric unit:
Tm: 0.0143 0.2500 0.1481  6 S 2.70-2.79
Ag: 0.1970 0.7500 0.3898  2 S 2.45-2.46
Sn: 0.1699 0.2500 0.5827  3 S 2.60-2.65
S: 0.0128 0.7500 0.3022  1 Ag 2.45, 1 Sn 2.60, 2 Tm 2.73
S: 0.1059 0.2500 0.9489  1 Ag 2.46, 3 Tm 2.70
S: 0.2425 0.2500 0.2001  2 Sn 2.65, 1 Tm 2.79

---

Which is the most stable structure? 3 is the most stable.

---

1:
The following is a DFT calculation (PBE) of a relaxed SrTbAgS3 crystal.

Computed properties:
The crystal system is monoclinic. Its volume is 23.8 A^3/atom.

a = 7.6381 Å, b = 4.0341 Å, c = 9.6498 Å
α = 90.00°, β = 105.91°, γ = 90.00°
With the nearest neighbours (Å) after each atom.
Space group P2_1/m (No. 11)
Asymmetric unit:
Sr: 0.2404 0.2500 0.2073  7 S 3.03-3.37
Tb: 0.1960 0.7500 0.6534  6 S 2.74-2.88
Ag: 0.3983 0.2500 0.9085  3 S 2.52-2.58
S: 0.0617 0.7500 0.3598  3 Tb 2.74-2.80, 2 Sr 3.03
S: 0.2103 0.7500 0.9542  2 Ag 2.58, 1 Tb 2.88
S: 0.4449 0.2500 0.6603  1 Ag 2.52, 2 Tb 2.76

---

2:
The following is a DFT calculation (PBE) of a relaxed SrTbAgS3 crystal.

Computed properties:
The crystal system is monoclinic. Its volume is 23.6 A^3/atom.

a = 17.3914 Å, b = 3.9893 Å, c = 8.3799 Å
α = 90.00°, β = 103.36°, γ = 90.00°
With the nearest neighbours (Å) after each atom.
Space group C2/m (No. 12)
Asymmetric unit:
Sr: 0.1326 0.0000 0.0731  7 S 3.00-3.15
Tb: 0.1648 0.0000 0.5888  6 S 2.77-2.79
Ag: 0.0236 0.5000 0.7118  4 S 2.54-2.68
S: 0.0000 0.0000 0.5000  4 Ag 2.64, 2 Tb 2.79
S: 0.0000 0.5000 0.0000  2 Ag 2.54
S: 0.1720 0.5000 0.3620  3 Tb 2.77-2.78, 2 Sr 3.09
S: 0.1811 0.5000 0.8230  1 Ag 2.68, 2 Tb 2.77

---

Which is the most stable structure? 2 is the most stable.

---

1:
The following is a DFT calculation (PBE) of a relaxed TbAgTeS crystal.

Computed properties:
The crystal system is orthorhombic. Its volume is 25.8 A^3/atom.

a = 9.0851 Å, b = 10.5681 Å, c = 4.2995 Å
α = 90.00°, β = 90.00°, γ = 90.00°
With the nearest neighbours (Å) after each atom.
Space group Cmm2 (No. 35)
Asymmetric unit:
Tb: 0.0000 0.0000 0.0000  2 S 2.76, 2 Te 3.07
Tb: 0.0000 0.5000 0.4062  4 S 2.75-2.86
Ag: 0.2500 0.2500 0.1124  2 S 2.80, 2 Te 2.83
Te: 0.0000 0.2097 0.4937  2 Ag 2.83, 3 Tb 3.07-3.11
S: 0.1985 0.5000 0.9223  3 Tb 2.75-2.86, 2 Ag 2.80

---

2:
The following is a DFT calculation (PBE) of a relaxed TbAgTeS crystal.

Computed properties:
The crystal system is monoclinic. Its volume is 26.1 A^3/atom.

a = 4.4076 Å, b = 6.8809 Å, c = 6.8816 Å
α = 90.00°, β = 92.16°, γ = 90.00°
With the nearest neighbours (Å) after each atom.
Space group P2_1 (No. 4)
Asymmetric unit:
Tb: 0.2181 0.0000 0.2929  3 S 2.74-2.84
Ag: 0.0055 0.4801 0.2468  2 S 2.71-2.75, 2 Te 2.80-2.81
Te: 0.2976 0.2854 0.9467  2 Ag 2.80-2.81, 3 Tb 3.12-3.13
S: 0.2592 0.6932 0.5503  2 Ag 2.71-2.75, 3 Tb 2.74-2.84

---

Which is the most stable structure? 2 is the most stable.